# 1
! AgH3Pt3 | the Alexandria database | PBE | relaxed; values from VASP
! * SG: Pm-3n
! * total energy: -4.2913 eV per atom
&SYSTEM
  ibrav = 0, nat = 14, ntyp = 3
/
ATOMIC_SPECIES
Ag 107.87 Ag.upf
H 1.01 H.upf
Pt 195.08 Pt.upf
CELL_PARAMETERS angstrom
5.378 0.000 0.000
0.000 5.378 0.000
0.000 0.000 5.378
ATOMIC_POSITIONS crystal
Ag 0.000 0.000 0.000
Ag 0.500 0.500 0.500
H 0.000 0.250 0.500
H 0.000 0.750 0.500
H 0.250 0.500 0.000
H 0.500 0.000 0.250
H 0.500 0.000 0.750
H 0.750 0.500 0.000
Pt 0.000 0.500 0.250
Pt 0.000 0.500 0.750
Pt 0.250 0.000 0.500
Pt 0.500 0.250 0.000
Pt 0.500 0.750 0.000
Pt 0.750 0.000 0.500


# 2
! HfTcGe | the Alexandria database | PBE | relaxed; values from VASP
! * SG: P-62m
! * ΔE_f: -699 meV/atom
&SYSTEM
  ibrav = 0, nat = 9, ntyp = 3
/
ATOMIC_SPECIES
Hf 178.49 Hf.upf
Tc 98.00 Tc.upf
Ge 72.64 Ge.upf
CELL_PARAMETERS angstrom
7.075 0.000 0.000
-3.538 6.127 0.000
0.000 0.000 3.440
ATOMIC_POSITIONS crystal
Hf 0.000 0.401 0.000
Hf 0.401 0.000 0.000
Hf 0.599 0.599 0.000
Tc 0.000 0.742 0.500
Tc 0.258 0.258 0.500
Tc 0.742 0.000 0.500
Ge 0.000 0.000 0.000
Ge 0.333 0.667 0.500
Ge 0.667 0.333 0.500


# 3
! DyGa2Mo | the Alexandria database | PBE | relaxed; values from VASP
! * SG: R-3m
! * ΔE_f: 27 meV/atom
&SYSTEM
  ibrav = 0, nat = 4, ntyp = 3
/
ATOMIC_SPECIES
Dy 162.50 Dy.upf
Ga 69.72 Ga.upf
Mo 95.94 Mo.upf
CELL_PARAMETERS angstrom
1.530 0.883 9.404
-1.530 0.883 9.404
0.000 -1.767 9.404
ATOMIC_POSITIONS crystal
Dy 0.000 0.000 0.000
Ga 0.241 0.241 0.241
Ga 0.759 0.759 0.759
Mo 0.500 0.500 0.500


# 4
! SrTh2Pd9 | the Alexandria database | PBE | relaxed; values from VASP
! * SG: P4/mmm
! * ΔE_f: -810 meV/atom
&SYSTEM
  ibrav = 0, nat = 12, ntyp = 3
/
ATOMIC_SPECIES
Sr 87.62 Sr.upf
Th 232.04 Th.upf
Pd 106.42 Pd.upf
CELL_PARAMETERS angstrom
4.219 0.000 0.000
0.000 4.219 0.000
0.000 0.000 12.724
ATOMIC_POSITIONS crystal
Sr 0.000 0.000 0.000
Th 0.000 0.000 0.331
Th 0.000 0.000 0.669
Pd 0.000 0.500 0.175
Pd 0.000 0.500 0.500
Pd 0.000 0.500 0.825
Pd 0.500 0.000 0.175
Pd 0.500 0.000 0.500
Pd 0.500 0.000 0.825
Pd 0.500 0.500 0.000
Pd 0.500 0.500 0.338
Pd 0.500 0.500 0.662


# 5
! CrSb2TeP | the Alexandria database | PBE | relaxed; values from VASP
! * SG: P4/mmm
! * formation energy from raw total energies: 680 meV per atom
&SYSTEM
  ibrav = 0, nat = 5, ntyp = 4
/
ATOMIC_SPECIES
Cr 52.00 Cr.upf
Sb 121.76 Sb.upf
Te 127.60 Te.upf
P 30.97 P.upf
CELL_PARAMETERS angstrom
4.987 0.000 0.000
0.000 4.987 0.000
0.000 0.000 4.906
ATOMIC_POSITIONS crystal
Cr 0.000 0.000 0.000
Sb 0.000 0.500 0.000
Sb 0.500 0.000 0.000
Te 0.000 0.000 0.500
P 0.500 0.500 0.500


# 6
! Nd2DyY5Tm | the Alexandria database | PBE | relaxed; values from VASP
! * SG: I4/mcm
! * ΔE_f: 262 meV/atom
&SYSTEM
  ibrav = 0, nat = 18, ntyp = 4
/
ATOMIC_SPECIES
Nd 144.24 Nd.upf
Dy 162.50 Dy.upf
Y 88.91 Y.upf
Tm 168.93 Tm.upf
CELL_PARAMETERS angstrom
-4.321 4.321 7.889
4.321 -4.321 7.889
4.321 4.321 -7.889
ATOMIC_POSITIONS crystal
Nd 0.118 0.618 0.735
Nd 0.382 0.118 0.500
Nd 0.618 0.882 0.500
Nd 0.882 0.382 0.265
Dy 0.250 0.250 0.000
Dy 0.750 0.750 0.000
Y 0.000 0.000 0.000
Y 0.072 0.148 0.500
Y 0.148 0.648 0.076
Y 0.352 0.428 0.500
Y 0.428 0.928 0.076
Y 0.500 0.500 0.000
Y 0.572 0.072 0.924
Y 0.648 0.572 0.500
Y 0.852 0.352 0.924
Y 0.928 0.852 0.500
Tm 0.250 0.750 0.500
Tm 0.750 0.250 0.500


# 7
! Ac2ErCd5 | the Alexandria database | PBE | relaxed; values from VASP
! * SG: I4/mmm
! * ΔE_f: -249 meV/atom
&SYSTEM
  ibrav = 0, nat = 8, ntyp = 3
/
ATOMIC_SPECIES
Ac 227.00 Ac.upf
Er 167.26 Er.upf
Cd 112.41 Cd.upf
CELL_PARAMETERS angstrom
-2.675 2.675 7.910
2.675 -2.675 7.910
2.675 2.675 -7.910
ATOMIC_POSITIONS crystal
Ac 0.239 0.239 0.000
Ac 0.761 0.761 0.000
Er 0.500 0.500 0.000
Cd 0.000 0.000 0.000
Cd 0.106 0.606 0.500
Cd 0.394 0.894 0.500
Cd 0.606 0.106 0.500
Cd 0.894 0.394 0.500


# 8
! Zr2BeNiRh | the Alexandria database | PBE | relaxed; values from VASP
! * SG: P4/mmm
! * ΔE_f: 399 meV/atom
&SYSTEM
  ibrav = 0, nat = 5, ntyp = 4
/
ATOMIC_SPECIES
Zr 91.22 Zr.upf
Be 9.01 Be.upf
Ni 58.69 Ni.upf
Rh 102.91 Rh.upf
CELL_PARAMETERS angstrom
4.980 0.000 0.000
0.000 4.980 0.000
0.000 0.000 4.093
ATOMIC_POSITIONS crystal
Zr 0.000 0.500 0.000
Zr 0.500 0.000 0.000
Be 0.000 0.000 0.500
Ni 0.500 0.500 0.500
Rh 0.000 0.000 0.000


# 9
! Cs2Cu2SnO6 | the Alexandria database | PBE | relaxed; values from VASP
! * SG: R-3m
! * formation energy from raw total energies: -977 meV per atom
&SYSTEM
  ibrav = 0, nat = 11, ntyp = 4
/
ATOMIC_SPECIES
Cs 132.91 Cs.upf
Cu 63.55 Cu.upf
Sn 118.71 Sn.upf
O 16.00 O.upf
CELL_PARAMETERS angstrom
2.977 1.719 6.590
-2.977 1.719 6.590
0.000 -3.438 6.590
ATOMIC_POSITIONS crystal
Cs 0.210 0.210 0.210
Cs 0.790 0.790 0.790
Cu 0.392 0.392 0.392
Cu 0.608 0.608 0.608
Sn 0.000 0.000 0.000
O 0.226 0.226 0.748
O 0.226 0.748 0.226
O 0.252 0.774 0.774
O 0.748 0.226 0.226
O 0.774 0.252 0.774
O 0.774 0.774 0.252